# 1
Below is a relaxed structure of Fe2O3F, with properties calculated at the PBE with a Hubbard U level.

Values from the calculation:
Polymorph energy (0 for the lowest one) (eV per atom): 0.015
Calculated density (g/cm3): 4.5
D(E_F) (states/eV per cell): 5.94

Unit cell a=4.6824 b=7.6405 c=9.8507 alpha=69.84 beta=86.18 gamma=87.55
Closest atoms and distances in Å follow each position.
Fractional coordinates of all 30 atoms:
F1 0.7927 0.5586 0.6178  3 Fe 2.04-2.20
O1 0.8166 0.9652 0.4269  2 Fe 1.93
F2 0.2018 0.2425 0.9800  3 Fe 2.06-2.08
Fe1 0.4736 0.4921 0.4901  5 O 1.96-1.98
Fe2 0.0270 0.6101 0.2093  4 O 1.92-1.98, 2 F 2.08-2.14
O2 0.8231 0.1619 0.8311  3 Fe 1.94-2.00
O3 0.3090 0.9370 0.8792  3 Fe 1.95-1.96
O4 0.7005 0.0665 0.1239  3 Fe 1.95-1.96
Fe3 0.9973 0.4002 0.7970  4 O 1.94-1.96, 2 F 2.04-2.06
O5 0.1752 0.6360 0.7684  3 Fe 1.94-2.00
Fe4 0.5007 0.9012 0.3000  6 O 1.95-2.17
O6 0.3094 0.1422 0.2780  3 Fe 1.95-1.96
Fe5 0.5051 0.3041 0.1014  4 O 1.94-1.95, 2 F 2.05-2.08
Fe6 0.4658 0.6937 0.8861  5 O 1.95-2.00
Fe7 0.9995 0.1965 0.4021  4 O 1.93-1.96, 2 F 2.04-2.07
Fe8 0.9941 0.8008 0.5967  4 O 1.93-1.96, 2 F 2.04-2.05
O7 0.6978 0.2592 0.5246  3 Fe 1.95-1.96
O8 0.6883 0.4611 0.9191  3 Fe 1.95-1.96
Fe9 0.0024 0.9969 0.0027  4 O 1.92-1.96, 2 F 2.02-2.07
O9 0.6906 0.6610 0.3231  3 Fe 1.95-1.98
O10 0.1935 0.8484 0.1729  3 Fe 1.92-2.11
O11 0.1867 0.4275 0.3772  3 Fe 1.93-1.98
O12 0.3084 0.3367 0.6787  3 Fe 1.95-1.96
O13 0.3051 0.5397 0.0749  3 Fe 1.94-1.98
F3 0.2018 0.0370 0.5821  3 Fe 2.04-2.27
O14 0.6923 0.8595 0.7231  3 Fe 1.95-1.96
Fe10 0.5328 0.1043 0.7138  5 O 1.96-2.00
F4 0.8079 0.7568 0.0257  2 Fe 2.02-2.08
F5 0.8047 0.3672 0.2196  3 Fe 2.05-2.14
O15 0.2964 0.7363 0.4748  3 Fe 1.95-1.97



# 2
Below is a relaxed structure of Fe5OF11, with properties calculated at the PBE with a Hubbard U level.

Values from the calculation:
Polymorph energy (0 for the lowest one) (eV per atom): 0.000
Calculated density (g/cm3): 3.4
D(E_F) (states/eV per cell): 0.00

Unit cell a=5.3617 b=5.9199 c=9.4347 alpha=111.88 beta=79.84 gamma=118.03
Closest atoms and distances in Å follow each position.
Fractional coordinates of all 17 atoms:
F1 0.5576 0.2736 0.6082  2 Fe 1.98-1.99
F2 0.8871 0.9636 0.1479  2 Fe 1.95-2.08
Fe1 0.9236 0.6015 0.6266  1 O 1.81, 3 F 1.90-1.98
Fe2 0.2213 0.3254 0.2633  6 F 2.01-2.23
F3 0.0669 0.5291 0.1686  3 Fe 2.05-2.22
O1 0.8730 0.7813 0.5239  2 Fe 1.81-1.84
Fe3 0.6879 0.9950 0.5768  1 O 1.84, 3 F 1.95-1.99
F4 0.3353 0.7785 0.6614  2 Fe 1.95-1.98
F5 0.4529 0.1459 0.2728  2 Fe 1.92-2.01
F6 0.8850 0.2493 0.7740  2 Fe 1.99-2.02
F7 0.9960 0.2867 0.4663  3 Fe 2.07-2.20
F8 0.4720 0.7608 0.3647  3 Fe 2.01-2.17
Fe4 0.9153 0.5494 0.9743  5 F 2.02-2.19
F9 0.8652 0.7305 0.8411  2 Fe 1.90-2.05
Fe5 0.4773 0.8103 0.1648  6 F 1.88-2.05
F10 0.3545 0.7877 0.9832  2 Fe 1.88-2.10
F11 0.5169 0.4585 0.0814  3 Fe 2.03-2.23



# 3
Below is a relaxed structure of Fe2OF2, with properties calculated at the PBE with a Hubbard U level.

Values from the calculation:
Polymorph energy (0 for the lowest one) (eV per atom): 0.733
Calculated density (g/cm3): 4.8
D(E_F) (states/eV per cell): 0.00

Unit cell a=3.9741 b=3.9741 c=4.6015 alpha=64.42 beta=64.42 gamma=90.00
Closest atoms and distances in Å follow each position.
Fractional coordinates of all 5 atoms:
F1 0.3460 0.3460 0.3081  4 Fe 2.11, 1 F 2.24
F2 0.6540 0.6540 0.6919  4 Fe 2.11, 1 F 2.24
Fe1 0.7500 0.2500 0.5000  4 F 2.11
Fe2 0.2500 0.7500 0.5000  4 F 2.11
O1 0.0000 0.0000 0.0000  2 F 2.52, 8 Fe 2.70



# 4
Below is a relaxed structure of FeOF, with properties calculated at the PBE with a Hubbard U level.

Values from the calculation:
Calculated density (g/cm3): 4.5

Unit cell a=3.0610 b=4.6862 c=13.9696 alpha=87.83 beta=90.00 gamma=90.00
Closest atoms and distances in Å follow each position.
Fractional coordinates of all 18 atoms:
Fe1 0.5000 0.5417 0.6730  4 O 1.98, 2 F 2.11-2.21
Fe2 0.0000 0.0781 0.8370  3 O 1.84-1.93, 2 F 2.05
O1 0.0000 0.3483 0.7384  3 Fe 1.84-1.98
Fe3 0.5000 0.5000 0.0000  2 O 1.90, 4 F 2.06
O2 0.0000 0.7217 0.6035  3 Fe 1.91-1.98
F1 0.5000 0.7897 0.4354  3 Fe 2.05-2.21
F2 0.0000 0.7238 0.9338  3 Fe 2.06-2.10
F3 0.5000 0.2103 0.5646  3 Fe 2.05-2.21
Fe4 0.0000 0.0000 0.5000  2 O 1.91, 4 F 2.05
O3 0.5000 0.2305 0.9013  3 Fe 1.90-1.93
Fe5 0.5000 0.4583 0.3270  4 O 1.98, 2 F 2.11-2.21
F4 0.5000 0.1361 0.2257  3 Fe 2.05-2.11
F5 0.0000 0.2762 0.0662  3 Fe 2.06-2.10
F6 0.5000 0.8639 0.7743  3 Fe 2.05-2.11
Fe6 0.0000 0.9219 0.1630  3 O 1.84-1.93, 2 F 2.05
O4 0.5000 0.7695 0.0987  3 Fe 1.90-1.93
O5 0.0000 0.6517 0.2616  3 Fe 1.84-1.98
O6 0.0000 0.2783 0.3965  3 Fe 1.91-1.98



# 5
Below is a relaxed structure of Fe6OF11, with properties calculated at the PBE with a Hubbard U level.

Values from the calculation:
Polymorph energy (0 for the lowest one) (eV per atom): 0.004
Calculated density (g/cm3): 4.1

Unit cell a=10.8814 b=10.8814 c=3.2024 alpha=90.00 beta=90.00 gamma=143.29
Closest atoms and distances in Å follow each position.
Fractional coordinates of all 18 atoms:
Fe1 0.9893 0.9893 0.5000  1 O 2.07, 5 F 2.12-2.20
O1 0.6871 0.6871 0.5000  3 Fe 1.94-2.07
F1 0.2658 0.7314 0.0000  3 Fe 2.09-2.11
F2 0.9414 0.0758 0.0000  3 Fe 2.05-2.12
F3 0.6329 0.9649 0.5000  3 Fe 2.07-2.11
F4 0.3654 0.0279 0.5000  3 Fe 2.06-2.10
F5 0.0758 0.9414 0.0000  3 Fe 2.05-2.12
F6 0.3098 0.3098 0.5000  3 Fe 2.19-2.20
Fe2 0.8325 0.1649 0.0000  6 F 2.05-2.11
F7 0.3925 0.5878 0.0000  3 Fe 2.03-2.14
F8 0.0279 0.3654 0.5000  3 Fe 2.06-2.10
Fe3 0.3310 0.6637 0.5000  6 F 2.06-2.14
F9 0.7314 0.2658 0.0000  3 Fe 2.09-2.11
F10 0.5878 0.3925 0.0000  3 Fe 2.03-2.14
Fe4 0.5273 0.5273 0.0000  2 O 1.94, 2 F 2.03
F11 0.9649 0.6329 0.5000  3 Fe 2.07-2.11
Fe5 0.6637 0.3310 0.5000  6 F 2.06-2.14
Fe6 0.1649 0.8325 0.0000  6 F 2.05-2.11



# 6
Below is a relaxed structure of Fe6O7F5, with properties calculated at the PBE with a Hubbard U level.

Values from the calculation:
Polymorph energy (0 for the lowest one) (eV per atom): 0.102
Calculated density (g/cm3): 4.5
D(E_F) (states/eV per cell): 4.47

Unit cell a=4.6543 b=5.5817 c=7.7623 alpha=85.59 beta=89.23 gamma=89.25
Closest atoms and distances in Å follow each position.
Fractional coordinates of all 18 atoms:
F1 0.2991 0.7879 0.8871  3 Fe 2.01-2.10
O1 0.6987 0.8756 0.4240  3 Fe 1.94-2.00
F2 0.8033 0.3714 0.4397  3 Fe 2.02-2.17
Fe1 0.4737 0.1732 0.3506  3 O 1.89-2.00, 3 F 2.06-2.08
Fe2 0.0104 0.3260 0.6892  4 O 1.93-1.99, 1 F 2.08
Fe3 0.4988 0.4969 0.0003  4 O 2.00-2.02, 2 F 2.01-2.03
O2 0.6997 0.5357 0.7684  3 Fe 1.97-2.02
O3 0.3002 0.4639 0.2331  3 Fe 1.97-2.02
O4 0.2990 0.1261 0.5721  3 Fe 1.89-2.03
Fe4 0.5433 0.8385 0.6574  4 O 1.94-2.03, 1 F 2.10
O5 0.7975 0.7136 0.0904  3 Fe 1.93-2.02
F3 0.7073 0.2095 0.1201  3 Fe 2.03-2.08
O6 0.2027 0.2849 0.9087  3 Fe 1.93-2.00
Fe5 0.9922 0.0003 0.9910  3 O 1.90-1.95, 3 F 2.03-2.06
O7 0.8007 0.0396 0.7762  3 Fe 1.90-1.95
F4 0.1923 0.6279 0.5599  3 Fe 2.08-2.20
Fe6 0.9791 0.6647 0.3129  3 O 1.93-1.98, 2 F 2.02-2.06
F5 0.2021 0.9645 0.2188  3 Fe 2.03-2.06



# 7
Below is a relaxed structure of FeOF, with properties calculated at the PBE with a Hubbard U level.

Values from the calculation:
Calculated density (g/cm3): 4.4
D(E_F) (states/eV per cell): 2.97

Unit cell a=3.0558 b=4.7802 c=14.2193 alpha=87.97 beta=90.00 gamma=90.00
Closest atoms and distances in Å follow each position.
Fractional coordinates of all 18 atoms:
Fe1 0.5000 0.4177 0.8252  3 O 1.86-1.98, 2 F 2.07
Fe2 0.5000 0.5613 0.4905  3 O 1.94-2.02, 3 F 2.11-2.17
O1 0.0000 0.7385 0.4291  3 Fe 1.87-1.94
Fe3 0.5000 0.5238 0.2005  3 O 1.85-1.90
Fe4 0.0000 0.0018 0.6548  4 O 1.94-2.02, 1 F 2.04
F1 0.0000 0.3203 0.5559  3 Fe 2.04-2.11
O2 0.0000 0.3105 0.2370  3 Fe 1.90-1.93
O3 0.5000 0.1768 0.7249  3 Fe 1.86-2.02
O4 0.5000 0.8388 0.2729  3 Fe 1.85-1.94
Fe5 0.0000 0.0111 0.3319  4 O 1.87-1.94, 2 F 2.04
Fe6 0.0000 0.9932 0.9976  1 O 1.88, 5 F 1.99-2.03
F2 0.5000 0.2162 0.3956  3 Fe 2.04-2.17
F3 0.0000 0.6907 0.1012  3 Fe 2.03-2.21
O5 0.5000 0.8139 0.6012  3 Fe 1.94-2.02
F4 0.5000 0.7763 0.9413  2 Fe 2.03
F5 0.0000 0.6741 0.7756  3 Fe 2.07-2.28
F6 0.5000 0.1647 0.0648  2 Fe 1.99
O6 0.0000 0.2703 0.9001  3 Fe 1.88-1.98



# 8
Below is a relaxed structure of FeOF, with properties calculated at the PBE with a Hubbard U level.

Values from the calculation:
Calculated density (g/cm3): 4.5
D(E_F) (states/eV per cell): 0.05

Unit cell a=4.6691 b=5.6465 c=7.6390 alpha=85.58 beta=89.35 gamma=89.93
Closest atoms and distances in Å follow each position.
Fractional coordinates of all 18 atoms:
F1 0.6957 0.5348 0.7833  3 Fe 2.03-2.07
Fe1 0.5229 0.8484 0.6710  3 O 1.91-1.95, 3 F 2.06-2.11
Fe2 0.0195 0.9934 0.9789  3 O 1.88-1.89, 3 F 2.03-2.10
F2 0.2062 0.6288 0.5746  3 Fe 2.07-2.11
Fe3 0.4317 0.4988 0.0001  3 O 1.90-1.93, 1 F 2.05
F3 0.7086 0.2009 0.0958  3 Fe 2.01-2.21
O1 0.3068 0.7998 0.8910  3 Fe 1.88-1.95
O2 0.3040 0.4613 0.2370  3 Fe 1.90-2.04
F4 0.8109 0.7056 0.0953  3 Fe 2.04-2.28
O3 0.1875 0.2831 0.8894  3 Fe 1.89-1.92
Fe4 0.9856 0.6578 0.3403  3 O 1.94-2.04, 3 F 2.05-2.13
O4 0.8034 0.3754 0.4505  3 Fe 1.92-1.94
O5 0.6985 0.8750 0.4374  3 Fe 1.95-1.99
Fe5 0.5329 0.1814 0.3378  3 O 1.93-2.02, 2 F 1.99-2.01
F5 0.2911 0.1275 0.5539  3 Fe 1.99-2.06
F6 0.1974 0.9629 0.2209  3 Fe 2.03-2.23
O6 0.8075 0.0402 0.7696  3 Fe 1.89-1.91
Fe6 0.9898 0.3250 0.6731  3 O 1.90-1.92, 3 F 2.03-2.08



no.,E (eV per cell)
1,-182.95
2,-91.99
3,-26.19
4,-104.20
5,-101.47
6,-107.54
7,-105.20
8,-104.64